{
  "formula": "LiTlPC",
  "functional": "GGA-PBE",
  "state": "relaxed",
  "ef_ev_per_fu": 0.87,
  "crystal_system": "monoclinic",
  "magmom_total_mub_per_fu": 0.0,
  "spacegroup": "Cm",
  "polymorph_energy_mev_per_atom": 0,
  "lattice": [[7.9485, 0.0000, -0.0299], [0.0000, 3.0344, 0.0000], [-1.2036, 0.0000, 5.1975]],
  "species": ["C", "C", "Li", "Li", "P", "P", "Tl", "Tl"],
  "fractional_positions": [[0.5018, 0.5000, 0.2037], [0.5018, 0.0000, 0.7037], [0.3062, 0.0000, 0.9742], [0.3062, 0.5000, 0.4742], [0.5982, 0.5000, 0.9042], [0.5982, 0.0000, 0.4042], [0.9761, 0.5000, 0.0337], [0.9761, 0.0000, 0.5337]]
}